# Pr4Dy5Er3

Crystalline Pr4Dy5Er3 at its relaxed geometry (PBE, Alexandria).

CIF file:
```
data_Pr4Dy5Er3
_chemical_formula_sum 'Pr4 Dy5 Er3'
_symmetry_space_group_name_H-M 'P 1'
_symmetry_Int_Tables_number 1
_cell_length_a 5.945
_cell_length_b 8.620
_cell_length_c 9.700
_cell_angle_alpha 105.31
_cell_angle_beta 72.15
_cell_angle_gamma 69.83
loop_
_symmetry_equiv_pos_as_xyz
'x,y,z'
loop_
_atom_site_label
_atom_site_type_symbol
_atom_site_fract_x
_atom_site_fract_y
_atom_site_fract_z
_atom_site_occupancy
Pr1 Pr 0.862 0.223 0.053 1
Pr2 Pr 0.165 0.052 0.618 1
Pr3 Pr 0.835 0.948 0.382 1
Pr4 Pr 0.138 0.777 0.947 1
Dy1 Dy 0.633 0.938 0.797 1
Dy2 Dy 0.500 0.500 0.500 1
Dy3 Dy 0.212 0.458 0.117 1
Dy4 Dy 0.788 0.542 0.883 1
Dy5 Dy 0.367 0.062 0.203 1
Er1 Er 0.524 0.689 0.264 1
Er2 Er 0.000 0.500 0.500 1
Er3 Er 0.476 0.311 0.736 1
```

Calculated values
- E: -4.425 eV per atom
- Fermi-level density of states: 19.93 states/eV/f.u.
- Space-group type: No. 12
- Formation energy from the elements: 2.719 eV/f.u.
- Total magnetization: 0.528 μB per formula unit



# LaSiAg2

Crystalline LaSiAg2 at its relaxed geometry (PBE, Alexandria).

CIF file:
```
data_LaSiAg2
_chemical_formula_sum 'La1 Si1 Ag2'
_symmetry_space_group_name_H-M 'P 1'
_symmetry_Int_Tables_number 1
_cell_length_a 3.453
_cell_length_b 3.453
_cell_length_c 7.192
_cell_angle_alpha 90.00
_cell_angle_beta 90.00
_cell_angle_gamma 90.00
loop_
_symmetry_equiv_pos_as_xyz
'x,y,z'
loop_
_atom_site_label
_atom_site_type_symbol
_atom_site_fract_x
_atom_site_fract_y
_atom_site_fract_z
_atom_site_occupancy
Ag1 Ag 0.000 0.000 0.982 1
Ag2 Ag 0.500 0.500 0.201 1
La1 La 0.000 0.000 0.514 1
Si1 Si 0.500 0.500 0.803 1
```

Calculated values
- ΔE_f (raw): -7 kJ/mol of atoms
- E: -4.082 eV per atom
- Fermi-level density of states: 3.24 states/eV/f.u.
- Space-group type: No. 99
- Total magnetization: 0.000 μB per formula unit